# UAlW

A geometry-optimized UAlW structure (PBE-GGA, Alexandria via LeMat-Bulk).

## Properties
For the density of states at the Fermi level, the calculation gives 1.403 states/eV/atom. For the total magnetization, the calculation gives 1.21 μB per formula unit. The energy of formation from the pure elements comes out at 0.37 eV per atom. As for the crystal system: monoclinic. The excess energy over the best structure of this formula in the dataset comes out at 255 meV per atom.

```
data_UAlW
_chemical_formula_sum 'U4 Al4 W4'
_symmetry_space_group_name_H-M 'C 1 2/m 1'
_symmetry_Int_Tables_number 12
_symmetry_space_group_name_Hall '-C 2y'
_cell_length_a 10.117
_cell_length_b 2.783
_cell_length_c 8.183
_cell_angle_alpha 90.00
_cell_angle_beta 91.23
_cell_angle_gamma 90.00
loop_
_atom_site_label
_atom_site_type_symbol
_atom_site_fract_x
_atom_site_fract_y
_atom_site_fract_z
U1 U 0.078 0.000 0.214
Al1 Al 0.139 0.500 0.553
W1 W 0.165 0.500 0.881
```